Material: MgMnF6
Method: DFT, PBE with a Hubbard U
State: optimized geometry

Cell: 5.3311 5.3311 5.3311 Å, 57.00 57.00 57.00°
Positions (direct):
1 Mg 0.0000 0.0000 0.0000
2 Mn 0.5000 0.5000 0.5000
3 F 0.1515 0.3728 0.7364
4 F 0.2636 0.8485 0.6272
5 F 0.3728 0.7364 0.1515
6 F 0.6272 0.2636 0.8485
7 F 0.7364 0.1515 0.3728
8 F 0.8485 0.6272 0.2636

Output
V, Å³/f.u.: 100
Final energy, eV/f.u.: -41.8